Entry 1:
VASP calculation (PBE) on a relaxed CdNi2Ru2 crystal.

```
CdNi2Ru2
1.0
7.3408 0.0000 0.0000
0.0000 7.3408 0.0000
0.0000 0.0000 2.6900
Ni Ru Cd
4 4 2
direct
0.6722 0.8278 0.5000
0.3278 0.1722 0.5000
0.8278 0.3278 0.5000
0.1722 0.6722 0.5000
0.6222 0.1222 0.0000
0.3778 0.8778 0.0000
0.8778 0.6222 0.0000
0.1222 0.3778 0.0000
0.0000 0.0000 0.0000
0.5000 0.5000 0.0000
```

Values from the calculation:
relative energy among the computed polymorphs	0.022	eV/atom
N(E_F)	1.679	states/eV/atom
formation energy from the elements	0.349	eV/atom
calculated density	9.90	g/cm³

=====

Entry 2:
VASP calculation (PBE) on a relaxed SbAu crystal.

```
SbAu
1.0
-3.9257 -7.1593 5.3464
2.8226 -7.0229 -7.3317
7.4123 -1.1272 3.9333
Au Sb
16 16
direct
0.8575 0.0000 0.5000
0.8925 0.7500 0.2500
0.6425 0.0000 0.0000
0.1425 0.5000 0.0000
0.6075 0.2500 0.7500
0.3925 0.7500 0.7500
0.6425 0.5000 0.5000
0.3575 0.5000 0.5000
0.6075 0.7500 0.2500
0.3575 0.0000 0.0000
0.1425 0.0000 0.5000
0.8575 0.5000 0.0000
0.8925 0.2500 0.7500
0.1075 0.7500 0.7500
0.1075 0.2500 0.2500
0.3925 0.2500 0.2500
0.2500 0.6137 0.2500
0.5000 0.1363 0.5000
0.5000 0.6363 0.0000
0.7500 0.6137 0.7500
0.2500 0.3863 0.7500
0.2500 0.8863 0.2500
0.7500 0.1137 0.2500
0.5000 0.3637 0.0000
0.0000 0.6363 0.5000
0.0000 0.3637 0.5000
0.0000 0.8637 0.0000
0.2500 0.1137 0.7500
0.7500 0.8863 0.7500
0.7500 0.3863 0.2500
0.5000 0.8637 0.5000
0.0000 0.1363 0.0000
```

Values from the calculation:
ΔE_f (raw)	0.15	eV per atom
N(E_F)	0.238	states/eV/atom
calculated density	9.73	g/cm³

=====

Question: Number 2 is which compound?
Answer: SbAu

=====

Question: The highest calculated density belongs to which entry?
Answer: CdNi2Ru2

=====

Question: N(E_F) of number 2 (SbAu)?
Answer: 0.238 states/eV/atom